## BeNb3C (PBE)

Data for crystalline BeNb3C at its relaxed geometry.

Properties
DFT total energy: -9.01 eV/atom
Energy of formation from the pure elements: -374 meV/atom
D(E_F): 2.9 states/eV/f.u.
E above lowest polymorph: 0 meV per atom

Unit cell a=3.227 b=10.489 c=8.237 alpha=90.00 beta=90.00 gamma=90.00
Space group Cmcm (No. 63)
Inequivalent atoms, fractional coordinates:
Be1 0.000 0.243 0.250 (multiplicity 4)
Nb1 0.000 0.136 0.559 (multiplicity 8)
Nb2 0.000 0.435 0.750 (multiplicity 4)
C1 0.000 0.500 0.000 (multiplicity 4)



## BeNbC3 (PBE)

Data for crystalline BeNbC3 at its relaxed geometry.

Properties
DFT total energy: -6.61 eV/atom
Energy of formation from the pure elements: 1682 meV/atom
D(E_F): 2.8 states/eV/f.u.
E above lowest polymorph: 0 meV per atom

Unit cell a=3.537 b=3.537 c=3.537 alpha=90.00 beta=90.00 gamma=90.00
Space group Pm-3m (No. 221)
Inequivalent atoms, fractional coordinates:
Be1 0.000 0.000 0.000 (multiplicity 1)
Nb1 0.500 0.500 0.500 (multiplicity 1)
C1 0.000 0.000 0.500 (multiplicity 3)



## BeNb3C (PBE)

Data for crystalline BeNb3C at its relaxed geometry.

Properties
DFT total energy: -8.57 eV/atom
Energy of formation from the pure elements: 59 meV/atom
D(E_F): 5.9 states/eV/f.u.
E above lowest polymorph: 434 meV per atom

Unit cell a=4.257 b=4.257 c=4.257 alpha=90.00 beta=90.00 gamma=90.00
Space group Pm-3m (No. 221)
Inequivalent atoms, fractional coordinates:
Be1 0.000 0.000 0.000 (multiplicity 1)
Nb1 0.000 0.500 0.500 (multiplicity 3)
C1 0.500 0.500 0.500 (multiplicity 1)